No. 1
VASP calculation (GGA-PBE) on CdHgSeO after structural relaxation.

Geometry as POSCAR:
```
CdHgSeO
1.0
3.8470 0.0000 0.0000
-1.9235 3.3316 0.0000
0.0000 0.0000 12.8228
Cd Hg Se O
2 2 2 2
direct
0.3333 0.6667 0.0000
0.6667 0.3333 0.5000
0.0000 0.0000 0.2260
0.0000 0.0000 0.7260
0.3333 0.6667 0.3483
0.6667 0.3333 0.8483
0.0000 0.0000 0.0561
0.0000 0.0000 0.5561
```

Computed properties:
electronic total energy	-2.845	eV per atom

---

No. 2
VASP calculation (GGA-PBE) on CdHgSeO after structural relaxation.

Geometry as POSCAR:
```
CdHgSeO
1.0
4.1794 0.0000 0.0000
0.0000 4.1794 0.0000
0.0000 0.0000 9.4209
Cd Hg Se O
2 2 2 2
direct
0.2500 0.2500 0.2335
0.7500 0.7500 0.7665
0.2500 0.7500 0.5000
0.7500 0.2500 0.5000
0.2500 0.2500 0.8204
0.7500 0.7500 0.1796
0.2500 0.2500 0.0012
0.7500 0.7500 0.9988
```

Computed properties:
electronic total energy	-2.556	eV per atom

---

Question: Among the records above, which one has the lowest electronic total energy?
Answer: number 1